i) BeB2P | GGA-PBE | optimized geometry

The crystal system is tetragonal. As for the calculated volume: 11.4 Å³ per atom.

a b c (Å): 5.2762 5.2762 5.2762
angles (deg): 126.66 126.66 78.80
With the nearest neighbours (Å) after each atom.
Fractional coordinates of all 8 atoms:
Be1 0.0000 0.0000 0.0000  4 B 2.01
Be2 0.7500 0.2500 0.5000  4 B 2.01
B1 0.1407 0.6250 0.0157  2 P 1.92, 2 Be 2.01
B2 0.3750 0.3907 0.5157  2 P 1.92, 2 Be 2.01
B3 0.6093 0.1250 0.9843  2 P 1.92, 2 Be 2.01
B4 0.8750 0.8593 0.4843  2 P 1.92, 2 Be 2.01
P1 0.2500 0.7500 0.5000  4 B 1.92
P2 0.5000 0.5000 0.0000  4 B 1.92

ii) BeB2P | GGA-PBE | optimized geometry

The crystal system is cubic. As for the calculated volume: 8.4 Å³ per atom.

a b c (Å): 3.6247 3.6247 3.6247
angles (deg): 60.00 60.00 60.00
With the nearest neighbours (Å) after each atom.
Fractional coordinates of all 4 atoms:
Be1 0.0000 0.0000 0.0000  8 B 2.22
B1 0.2500 0.2500 0.2500  4 Be 2.22, 4 P 2.22
B2 0.7500 0.7500 0.7500  4 Be 2.22, 4 P 2.22
P1 0.5000 0.5000 0.5000  8 B 2.22

Computed energies relative to the best structure, in meV/atom: i) 0; ii) 610

i) BeBP2 | GGA-PBE | optimized geometry

The crystal system is cubic. As for the calculated volume: 10.8 Å³ per atom.

a b c (Å): 3.9341 3.9341 3.9341
angles (deg): 60.00 60.00 60.00
With the nearest neighbours (Å) after each atom.
Fractional coordinates of all 4 atoms:
Be1 0.0000 0.0000 0.0000  8 P 2.41
B1 0.5000 0.5000 0.5000  8 P 2.41
P1 0.2500 0.2500 0.2500  4 Be 2.41, 4 B 2.41
P2 0.7500 0.7500 0.7500  4 Be 2.41, 4 B 2.41

ii) BeBP2 | GGA-PBE | optimized geometry

The crystal system is tetragonal. As for the calculated volume: 13.4 Å³ per atom.

a b c (Å): 5.7332 5.7332 5.7332
angles (deg): 130.39 130.39 72.79
With the nearest neighbours (Å) after each atom.
Fractional coordinates of all 8 atoms:
Be1 0.0000 0.0000 0.0000  4 P 2.14
Be2 0.7500 0.2500 0.5000  4 P 2.14
B1 0.2500 0.7500 0.5000  4 P 1.98
B2 0.5000 0.5000 0.0000  4 P 1.98
P1 0.1524 0.6250 0.0274  2 B 1.98, 2 Be 2.14
P2 0.3750 0.4024 0.5274  2 B 1.98, 2 Be 2.14
P3 0.5976 0.1250 0.9726  2 B 1.98, 2 Be 2.14
P4 0.8750 0.8476 0.4726  2 B 1.98, 2 Be 2.14

Computed energies relative to the best structure, in meV/atom: i) 1170; ii) 0

i) Be2BP | GGA-PBE | optimized geometry

The crystal system is tetragonal. As for the calculated volume: 12.1 Å³ per atom.

a b c (Å): 5.1110 5.1110 5.1110
angles (deg): 118.08 118.08 93.35
With the nearest neighbours (Å) after each atom.
Fractional coordinates of all 8 atoms:
Be1 0.1004 0.6250 0.9754  2 B 1.98, 2 P 2.14
Be2 0.3750 0.3504 0.4754  2 B 1.98, 2 P 2.14
Be3 0.6496 0.1250 0.0246  2 B 1.98, 2 P 2.14
Be4 0.8750 0.8996 0.5246  2 B 1.98, 2 P 2.14
B1 0.0000 0.0000 0.0000  4 Be 1.98
B2 0.7500 0.2500 0.5000  4 Be 1.98
P1 0.2500 0.7500 0.5000  4 Be 2.14
P2 0.5000 0.5000 0.0000  4 Be 2.14

ii) Be2BP | GGA-PBE | optimized geometry

The crystal system is cubic. As for the calculated volume: 9.5 Å³ per atom.

a b c (Å): 3.7673 3.7673 3.7673
angles (deg): 60.00 60.00 60.00
With the nearest neighbours (Å) after each atom.
Fractional coordinates of all 4 atoms:
Be1 0.2500 0.2500 0.2500  4 B 2.31, 4 P 2.31
Be2 0.7500 0.7500 0.7500  4 B 2.31, 4 P 2.31
B1 0.0000 0.0000 0.0000  8 Be 2.31
P1 0.5000 0.5000 0.5000  8 Be 2.31

Computed energies relative to the best structure, in meV/atom: i) 0; ii) 46